No. 1
Material: Ca4Np3RuN8
Method: DFT, PBE
State: optimized geometry

Output
- DOS at the Fermi energy (states/eV per cell) = 14.49
- raw formation energy (eV per atom) = -0.984
- M_tot (μB per atom) = 0.44
- raw total energy (eV/atom) = -8.653

Geometry as POSCAR:
```
Ca4Np3RuN8
1.0
-4.150 0.990 5.224
-5.241 -2.493 -3.691
5.567 -3.728 0.774
Np N Ca Ru
3 8 4 1
direct
0.500 0.500 0.000
0.500 0.500 0.500
0.000 0.500 0.500
0.243 0.717 0.974
0.758 0.283 0.515
0.757 0.283 0.026
0.268 0.283 0.026
0.740 0.721 0.481
0.260 0.279 0.519
0.242 0.717 0.485
0.732 0.717 0.974
0.500 0.000 0.500
0.000 0.000 0.000
0.000 0.000 0.500
0.500 0.000 0.000
0.000 0.500 0.000
```

***

No. 2
Material: HfSc2Ir
Method: DFT, PBE
State: optimized geometry

Output
- DOS at the Fermi energy (states/eV per cell) = 3.37
- M_tot (μB per atom) = 0.00
- raw total energy (eV/atom) = -7.916
- excess energy over the best structure of this formula in the dataset (meV/atom) = 490.4
- energy relative to the elements (meV per atom) = -47

Geometry as POSCAR:
```
HfSc2Ir
1.0
1.788 0.000 10.146
-0.894 1.548 10.146
-0.894 -1.548 10.146
Sc Hf Ir
2 1 1
direct
0.100 0.100 0.100
0.900 0.900 0.900
0.000 0.000 0.000
0.500 0.500 0.500
```

***

No. 3
Material: CrCd2RePb
Method: DFT, PBE
State: optimized geometry

Output
- DOS at the Fermi energy (states/eV per cell) = 3.98
- M_tot (μB per atom) = 0.08
- raw total energy (eV/atom) = -4.477
- energy relative to the elements (meV per atom) = 1045

Geometry as POSCAR:
```
CrCd2RePb
1.0
-0.916 4.320 2.800
-4.328 -0.693 -0.347
0.100 -2.828 4.397
Cd Pb Cr Re
2 1 1 1
direct
0.000 0.000 0.500
0.500 0.000 0.000
0.500 0.500 0.500
0.000 0.000 0.000
0.000 0.500 0.000
```

***

No. 4
Material: MnC3
Method: DFT, PBE
State: optimized geometry

Output
- DOS at the Fermi energy (states/eV per cell) = 4.75
- M_tot (μB per atom) = 0.00
- raw total energy (eV/atom) = -8.216
- excess energy over the best structure of this formula in the dataset (meV/atom) = 285.5
- energy relative to the elements (meV per atom) = 995

Geometry as POSCAR:
```
MnC3
1.0
1.647 4.721 -3.205
-3.413 1.986 4.436
2.036 0.271 1.445
Mn C
2 6
direct
0.600 0.400 0.750
0.400 0.600 0.250
0.007 0.993 0.750
0.944 0.495 0.750
0.993 0.007 0.250
0.505 0.056 0.750
0.495 0.944 0.250
0.056 0.505 0.250
```